Density functional theory data (PBE) for crystalline SrLi6Hg at its relaxed geometry.

The structure in POSCAR format:
```
SrLi6Hg
1.0
4.631 0.000 0.000
0.000 4.631 0.000
0.000 0.000 9.666
Sr Li Hg
1 6 1
Direct
0.000 0.000 0.000
0.000 0.500 0.341
0.000 0.500 0.659
0.500 0.000 0.341
0.500 0.000 0.659
0.500 0.500 0.151
0.500 0.500 0.849
0.000 0.000 0.500
```

Summary:
Formation energy from the elements ... -24 meV per atom
Theoretical density ... 2.6 g/cm3
Calculated volume ... 207.3 Å³/cell
E_tot ... -13.655 eV per cell
SG ... P4/mmm, No. 123
Density of states at the Fermi level ... 4.1 states/eV/f.u.

=====

Density functional theory data (PBE) for crystalline TcTeCl2 at its relaxed geometry.

The structure in POSCAR format:
```
TcTeCl2
1.0
5.252 0.000 0.000
0.000 5.252 0.000
0.000 0.000 3.268
Tc Te Cl
1 1 2
Direct
0.000 0.000 0.000
0.500 0.500 0.000
0.000 0.500 0.500
0.500 0.000 0.500
```

Summary:
Theoretical density ... 5.5 g/cm3
Calculated volume ... 90.2 Å³/cell
E_tot ... -13.987 eV per cell
SG ... P4/mmm, No. 123
Energy relative to the lowest polymorph listed for this composition ... 1.0745 eV/atom
Density of states at the Fermi level ... 3.1 states/eV/f.u.

=====

Density functional theory data (PBE) for crystalline SmHo2Hg at its relaxed geometry.

The structure in POSCAR format:
```
SmHo2Hg
1.0
3.611 0.000 0.000
0.000 3.611 0.000
0.000 0.000 8.904
Sm Ho Hg
1 2 1
Direct
0.000 0.000 0.000
0.500 0.500 0.281
0.500 0.500 0.719
0.000 0.000 0.500
```

Summary:
Formation energy from the elements ... -234 meV per atom
Theoretical density ... 9.7 g/cm3
Calculated volume ... 116.1 Å³/cell
E_tot ... -15.113 eV per cell
SG ... P4/mmm, No. 123
Energy relative to the lowest polymorph listed for this composition ... 0.0000 eV/atom
Density of states at the Fermi level ... 4.0 states/eV/f.u.

=====

- What is the calculated volume in the second record?
  90.2 Å³/cell

=====

- Among the records above, which one has the lowest theoretical density?
  SrLi6Hg

=====

- Which value of E_tot does entry 2 give?
  -13.987 eV per cell